Computed, not measured: a geometry-optimized Ta6VOs structure at the GGA-PBE level of DFT.

a = 4.5672 Å, b = 4.5672 Å, c = 13.0995 Å
α = 90.00°, β = 90.00°, γ = 90.00°
Space group I4/mmm (No. 139)
One atom of each set of equivalent atoms:
Ta 0.0000 0.0000 0.2464
Ta 0.0000 0.5000 0.1195
V 0.0000 0.0000 0.0000
Os 0.0000 0.0000 0.5000

The crystal system is tetragonal. Its electronic total energy is -185.7 eV for the cell shown. The calculation puts the formation enthalpy at 0 K at -16.6 kJ per mole of atoms.

=====

Computed, not measured: a geometry-optimized CaTb8Nd3 structure at the GGA-PBE level of DFT.

a = 8.7510 Å, b = 8.7510 Å, c = 11.8799 Å
α = 90.00°, β = 90.00°, γ = 90.00°
Space group I-42m (No. 121)
One atom of each set of equivalent atoms:
Ca 0.0000 0.0000 0.0000
Tb 0.1360 0.1360 0.7262
Tb 0.2329 0.2329 0.4579
Nd 0.0000 0.0000 0.5000
Nd 0.0000 0.5000 0.2500

The crystal system is tetragonal. Its electronic total energy is -91.4 eV for the cell shown. The calculation puts the formation enthalpy at 0 K at 61.5 kJ per mole of atoms.

=====

Computed, not measured: a geometry-optimized Li2BiAs structure at the GGA-PBE level of DFT.

a = 6.8286 Å, b = 6.8286 Å, c = 6.8286 Å
α = 90.00°, β = 90.00°, γ = 90.00°
Space group Fm-3m (No. 225)
One atom of each set of equivalent atoms:
Li 0.2500 0.2500 0.2500
Bi 0.0000 0.0000 0.0000
As 0.0000 0.0000 0.5000

The crystal system is cubic. Its electronic total energy is -54.7 eV for the cell shown. The calculation puts the formation enthalpy at 0 K at -31.7 kJ per mole of atoms. The distance to the lowest polymorph of the same formula comes out at 0.060 eV/atom.

=====

Computed, not measured: a geometry-optimized Cd2PbW structure at the GGA-PBE level of DFT.

a = 4.2298 Å, b = 4.2298 Å, c = 9.2682 Å
α = 90.00°, β = 90.00°, γ = 90.00°
Space group I-4m2 (No. 119)
One atom of each set of equivalent atoms:
Cd 0.0000 0.0000 0.0000
Cd 0.0000 0.5000 0.2500
Pb 0.0000 0.5000 0.7500
W 0.0000 0.0000 0.5000

The crystal system is tetragonal. Its electronic total energy is -30.9 eV for the cell shown. The calculation puts the formation enthalpy at 0 K at 72.8 kJ per mole of atoms.